DFT (PBE) results for a relaxed CrBi2I crystal.

Cell lengths 6.3810, 6.3810, 9.0187 Å; angles 69.28, 69.28, 90.00 degrees
Positions (direct):
Cr 0.5000 0.5000 0.0000
I 0.0000 0.0000 0.0000
Cr 0.2500 0.7500 0.5000
Bi 0.8750 0.7670 0.7500
Bi 0.2330 0.6250 0.2500
Bi 0.3750 0.4830 0.7500
I 0.7500 0.2500 0.5000
Bi 0.5170 0.1250 0.2500

Output
E_form (uncorrected) ... 542 meV/atom
Total DFT energy (no corrections) ... -33.5 eV for the cell shown
N(E_F) ... 7.320 states/eV/cell
Distance to the lowest polymorph of the same formula ... 0 meV/atom